Compound: HoSc4Cu5
Source: Alexandria via LeMat-Bulk
Functional: GGA-PBE
Structure: optimized geometry

Unit cell a=3.2734 b=3.2734 c=16.6986 alpha=90.00 beta=90.00 gamma=90.00
With the nearest neighbours (Å) after each atom.
Sites, in units of the cell vectors:
Cu 0.5000 0.5000 0.5000  8 Sc 2.83
Cu 0.5000 0.5000 0.8872  4 Sc 2.79, 4 Ho 2.98
Cu 0.5000 0.5000 0.1128  4 Sc 2.79, 4 Ho 2.98
Cu 0.5000 0.5000 0.6960  8 Sc 2.83-2.84
Cu 0.5000 0.5000 0.3040  8 Sc 2.83-2.84
Sc 0.0000 0.0000 0.2066  8 Cu 2.79-2.83
Sc 0.0000 0.0000 0.5977  8 Cu 2.83-2.84
Sc 0.0000 0.0000 0.4023  8 Cu 2.83-2.84
Sc 0.0000 0.0000 0.7934  8 Cu 2.79-2.83
Ho 0.0000 0.0000 0.0000  8 Cu 2.98, 4 Ho 3.27

Results
magnetization	0.0	μB/f.u.
symmetry	P4/mmm
VASP energy	-5.31	eV per atom

Compound: Ho2ScCu4
Source: Alexandria via LeMat-Bulk
Functional: GGA-PBE
Structure: optimized geometry

Unit cell a=4.9380 b=4.9380 c=6.7103 alpha=111.59 beta=111.59 gamma=90.00
With the nearest neighbours (Å) after each atom.
Sites, in units of the cell vectors:
Ho 0.2840 0.2840 0.5681  4 Cu 2.75
Ho 0.7160 0.7160 0.4319  4 Cu 2.75
Cu 0.3891 0.8891 0.7781  1 Cu 2.54, 2 Ho 2.75, 2 Sc 2.78
Cu 0.8891 0.3891 0.7781  1 Cu 2.54, 2 Ho 2.75, 2 Sc 2.78
Cu 0.6109 0.1109 0.2219  1 Cu 2.54, 2 Ho 2.75, 2 Sc 2.78
Cu 0.1109 0.6109 0.2219  1 Cu 2.54, 2 Ho 2.75, 2 Sc 2.78
Sc 0.0000 0.0000 0.0000  8 Cu 2.78

Results
magnetization	0.0	μB/f.u.
symmetry	I4/mmm
VASP energy	-4.59	eV per atom

Compound: HoScCu4
Source: Alexandria via LeMat-Bulk
Functional: GGA-PBE
Structure: optimized geometry

Unit cell a=4.2368 b=4.2364 c=7.7905 alpha=74.25 beta=74.23 gamma=119.91
With the nearest neighbours (Å) after each atom.
Sites, in units of the cell vectors:
Cu 0.1127 0.4426 0.7195  3 Cu 2.45
Cu 0.8898 0.5519 0.2769  3 Cu 2.45
Cu 0.4466 0.1090 0.7194  3 Cu 2.45
Cu 0.5563 0.8857 0.2767  3 Cu 2.45
Ho 0.5012 0.4973 0.9981  12 Cu 3.05-3.06, 2 Sc 3.27
Sc 0.0012 0.9973 0.4981  12 Cu 2.84-2.85

Results
magnetization	0.0	μB/f.u.
symmetry	C2/m
VASP energy	-4.79	eV per atom

Compound: Ho3Sc2Cu3
Source: Alexandria via LeMat-Bulk
Functional: GGA-PBE
Structure: optimized geometry

Unit cell a=3.4255 b=4.9477 c=10.6028 alpha=103.49 beta=99.30 gamma=90.00
With the nearest neighbours (Å) after each atom.
Sites, in units of the cell vectors:
Sc 0.7296 0.2296 0.4593  2 Cu 2.78
Sc 0.2704 0.7704 0.5407  2 Cu 2.78
Ho 0.6203 0.6203 0.2406  6 Cu 2.99-3.01, 2 Sc 3.33
Ho 0.3797 0.3797 0.7594  6 Cu 2.99-3.01, 2 Sc 3.33
Ho 0.5000 0.0000 0.0000  8 Cu 3.01
Cu 0.0000 0.5000 0.0000  8 Ho 2.99-3.01
Cu 0.8780 0.8780 0.7560  2 Sc 2.78, 6 Ho 3.01
Cu 0.1220 0.1220 0.2440  2 Sc 2.78, 6 Ho 3.01

Results
magnetization	0.0	μB/f.u.
symmetry	Immm
VASP energy	-5.02	eV per atom